# 1
A plane-wave DFT calculation with PBE was carried out for a geometry-optimized SrLa2S4 structure.

Properties
Spin magnetization: 0.0 μB per cell
E_form (uncorrected): -2.19 eV per atom
Calculated density: 4.79 Mg/m³
Relative energy among the computed polymorphs: 0.000 eV/atom

Geometry as POSCAR:
```
SrLa2S4
1.0
-4.4106 4.4106 4.3969
4.4106 -4.4106 4.3969
4.4106 4.4106 -4.3969
Sr La S
2 4 8
direct
0.0000 0.0000 0.0000
0.7500 0.2500 0.5000
0.2460 0.1250 0.6210
0.3750 0.7540 0.8790
0.5040 0.6250 0.3790
0.8750 0.4960 0.1210
0.1325 0.3835 0.4010
0.1335 0.3825 0.9010
0.2685 0.8675 0.2510
0.4815 0.2325 0.0990
0.6165 0.0175 0.7490
0.6175 0.5185 0.7510
0.7675 0.8665 0.2490
0.9825 0.7315 0.5990
```

# 2
A plane-wave DFT calculation with PBE was carried out for a geometry-optimized Cu2ReSb structure.

Properties
Spin magnetization: 0.0 μB per cell
E_form (uncorrected): 0.60 eV per atom
Calculated density: 11.21 Mg/m³

Geometry as POSCAR:
```
Cu2ReSb
1.0
2.9226 0.0000 0.0000
-1.4613 2.5311 0.0000
0.0000 0.0000 26.1463
Cu Re Sb
6 3 3
direct
0.0000 0.0000 0.2449
0.0000 0.0000 0.7551
0.3333 0.6667 0.4218
0.3333 0.6667 0.9116
0.6667 0.3333 0.0884
0.6667 0.3333 0.5782
0.0000 0.0000 0.5000
0.3333 0.6667 0.1667
0.6667 0.3333 0.8333
0.0000 0.0000 0.0000
0.3333 0.6667 0.6667
0.6667 0.3333 0.3333
```

# 3
A plane-wave DFT calculation with PBE was carried out for a geometry-optimized CaSb2Te4 structure.

Properties
Spin magnetization: 0.0 μB per cell
E_form (uncorrected): -0.46 eV per atom
Calculated density: 5.57 Mg/m³

Geometry as POSCAR:
```
CaSb2Te4
1.0
2.1822 -7.1690 0.0000
2.1822 7.1690 0.0000
0.0000 0.0000 15.1425
Ca Sb Te
2 4 8
direct
0.1129 0.8871 0.7500
0.8871 0.1129 0.2500
0.3659 0.6341 0.5710
0.3659 0.6341 0.9290
0.6341 0.3659 0.0710
0.6341 0.3659 0.4290
0.0000 0.0000 0.0000
0.0000 0.0000 0.5000
0.2765 0.7235 0.1173
0.2765 0.7235 0.3827
0.4588 0.5412 0.7500
0.5412 0.4588 0.2500
0.7235 0.2765 0.6173
0.7235 0.2765 0.8827
```

# 4
A plane-wave DFT calculation with PBE was carried out for a geometry-optimized La2CuPb2 structure.

Properties
Spin magnetization: 0.0 μB per cell
Calculated density: 7.75 Mg/m³
Relative energy among the computed polymorphs: 0.137 eV/atom
ΔE_f: -0.2001 eV per atom

Geometry as POSCAR:
```
La2CuPb2
1.0
8.1204 0.0000 0.0000
0.0000 8.1204 0.0000
0.0000 0.0000 4.9127
La Cu Pb
4 2 4
direct
0.1698 0.3302 0.0000
0.3302 0.8302 0.0000
0.6698 0.1698 0.0000
0.8302 0.6698 0.0000
0.0000 0.0000 0.0000
0.5000 0.5000 0.0000
0.1350 0.6350 0.5000
0.3650 0.1350 0.5000
0.6350 0.8650 0.5000
0.8650 0.3650 0.5000
```

# 5
A plane-wave DFT calculation with PBE was carried out for a geometry-optimized CoTcRu structure.

Properties
Spin magnetization: 4.5 μB per cell
Calculated density: 10.87 Mg/m³
Relative energy among the computed polymorphs: 0.015 eV/atom
ΔE_f: 0.0932 eV per atom

Geometry as POSCAR:
```
CoTcRu
1.0
8.3413 0.0000 0.0000
0.0000 3.7266 0.0000
-1.7189 0.0000 5.0730
Co Tc Ru
4 4 4
direct
0.0005 0.0000 0.2462
0.4995 0.5000 0.7538
0.5005 0.5000 0.2462
0.9995 0.0000 0.7538
0.1651 0.5000 0.0878
0.3349 0.0000 0.9122
0.6651 0.0000 0.0878
0.8349 0.5000 0.9122
0.1637 0.5000 0.5820
0.3363 0.0000 0.4180
0.6637 0.0000 0.5820
0.8363 0.5000 0.4180
```

# 6
A plane-wave DFT calculation with PBE was carried out for a geometry-optimized ScSe2NO structure.

Properties
Spin magnetization: 0.0 μB per cell
E_form (uncorrected): 0.38 eV per atom
Calculated density: 5.27 Mg/m³
Relative energy among the computed polymorphs: 0.000 eV/atom

Geometry as POSCAR:
```
ScSe2NO
1.0
4.2760 0.0000 0.0000
0.0000 4.2760 0.0000
0.0000 0.0000 4.0119
Sc Se N O
1 2 1 1
direct
0.0000 0.0000 0.0000
0.0000 0.5000 0.5000
0.5000 0.0000 0.5000
0.5000 0.5000 0.0000
0.5000 0.5000 0.5000
```

# 7
A plane-wave DFT calculation with PBE was carried out for a geometry-optimized Hf3V5S12 structure.

Properties
Spin magnetization: 48.1 μB per cell
E_form (uncorrected): -0.92 eV per atom
Calculated density: 5.09 Mg/m³

Geometry as POSCAR:
```
Hf3V5S12
1.0
-7.2628 7.2628 7.2628
7.2628 -7.2628 7.2628
7.2628 7.2628 -7.2628
Hf V S
12 20 48
direct
0.1250 0.2500 0.3750
0.1250 0.3750 0.7500
0.2500 0.3750 0.1250
0.2500 0.8750 0.6250
0.3750 0.1250 0.2500
0.3750 0.7500 0.1250
0.6250 0.2500 0.8750
0.6250 0.8750 0.7500
0.7500 0.1250 0.3750
0.7500 0.6250 0.8750
0.8750 0.6250 0.2500
0.8750 0.7500 0.6250
0.0000 0.0000 0.0000
0.0000 0.0000 0.5000
0.0000 0.5000 0.0000
0.0000 0.5000 0.5000
0.1250 0.7500 0.8750
0.1250 0.8750 0.2500
0.2500 0.1250 0.8750
0.2500 0.6250 0.3750
0.3750 0.2500 0.6250
0.3750 0.6250 0.7500
0.5000 0.0000 0.0000
0.5000 0.0000 0.5000
0.5000 0.5000 0.0000
0.5000 0.5000 0.5000
0.6250 0.3750 0.2500
0.6250 0.7500 0.3750
0.7500 0.3750 0.6250
0.7500 0.8750 0.1250
0.8750 0.1250 0.7500
0.8750 0.2500 0.1250
0.0429 0.2189 0.1277
0.0429 0.3240 0.9152
0.0848 0.6277 0.4088
0.0848 0.9571 0.6760
0.0912 0.7189 0.6760
0.0912 0.8723 0.4152
0.1277 0.0429 0.2189
0.1277 0.5848 0.9088
0.1760 0.2189 0.5912
0.1760 0.4571 0.5848
0.2189 0.1277 0.0429
0.2189 0.5912 0.1760
0.2811 0.3240 0.9088
0.2811 0.4571 0.3723
0.3240 0.9088 0.2811
0.3240 0.9152 0.0429
0.3723 0.2811 0.4571
0.3723 0.5912 0.9152
0.4088 0.0848 0.6277
0.4088 0.8240 0.7811
0.4152 0.0912 0.8723
0.4152 0.8240 0.5429
0.4571 0.3723 0.2811
0.4571 0.5848 0.1760
0.5429 0.4152 0.8240
0.5429 0.6277 0.7189
0.5848 0.1760 0.4571
0.5848 0.9088 0.1277
0.5912 0.1760 0.2189
0.5912 0.9152 0.3723
0.6277 0.4088 0.0848
0.6277 0.7189 0.5429
0.6760 0.0848 0.9571
0.6760 0.0912 0.7189
0.7189 0.5429 0.6277
0.7189 0.6760 0.0912
0.7811 0.4088 0.8240
0.7811 0.8723 0.9571
0.8240 0.5429 0.4152
0.8240 0.7811 0.4088
0.8723 0.4152 0.0912
0.8723 0.9571 0.7811
0.9088 0.1277 0.5848
0.9088 0.2811 0.3240
0.9152 0.0429 0.3240
0.9152 0.3723 0.5912
0.9571 0.6760 0.0848
0.9571 0.7811 0.8723
```

# 8
A plane-wave DFT calculation with PBE was carried out for a geometry-optimized Cu3SiHg structure.

Properties
Spin magnetization: 0.0 μB per cell
E_form (uncorrected): 1.15 eV per atom
Calculated density: 6.31 Mg/m³
Relative energy among the computed polymorphs: 0.765 eV/atom

Geometry as POSCAR:
```
Cu3SiHg
1.0
4.7968 0.0000 0.0000
0.0000 4.7968 0.0000
0.0000 0.0000 4.7968
Cu Si Hg
3 1 1
direct
0.0000 0.0000 0.5000
0.0000 0.5000 0.0000
0.5000 0.0000 0.0000
0.5000 0.5000 0.5000
0.0000 0.0000 0.0000
```